# 1
# AcErRuPt

A geometry-optimized AcErRuPt structure (GGA-PBE, the Alexandria database).

Properties
**Space-group type**: F-43m
**VASP energy**: -6.54 eV/atom
**ρ**: 12.48 g cm⁻³
**Calculated formation energy**: -0.546 eV/atom

Cell lengths 5.0650, 5.0650, 5.0650 Å; angles 60.00, 60.00, 60.00 degrees
Closest atoms and distances in Å follow each position.
Element x y z (fractional)
Pt  0.2500  0.2500  0.2500  4 Ac 3.10, 4 Er 3.10
Ac  0.0000  0.0000  0.0000  4 Ru 3.10, 4 Pt 3.10
Er  0.5000  0.5000  0.5000  4 Ru 3.10, 4 Pt 3.10
Ru  0.7500  0.7500  0.7500  4 Ac 3.10, 4 Er 3.10


# 2
# HoSiRh

A geometry-optimized HoSiRh structure (GGA-PBE, the Alexandria database).

Properties
**Space-group type**: R-3m
**VASP energy**: -6.57 eV/atom
**ρ**: 9.28 g cm⁻³
**ΔE_f (raw)**: -226.1 kJ/mol of formula units

Cell lengths 5.4852, 5.4852, 12.5914 Å; angles 77.42, 77.42, 60.00 degrees
Closest atoms and distances in Å follow each position.
Element x y z (fractional)
Ho  0.9555  0.9555  0.1335  3 Rh 2.94, 9 Si 3.19-3.24, 1 Ho 3.25
Si  0.5000  0.5000  0.5000  6 Rh 2.55
Rh  0.2773  0.7826  0.6627  2 Si 2.42-2.55, 2 Rh 2.71
Si  0.3960  0.3960  0.8121  3 Rh 2.42
Rh  0.2773  0.2773  0.6627  2 Si 2.42-2.55, 2 Rh 2.71
Rh  0.7227  0.2174  0.3373  2 Si 2.42-2.55, 2 Rh 2.71
Si  0.5000  0.0000  0.0000  6 Si 2.74-2.78, 2 Ho 3.01
Rh  0.7227  0.7227  0.3373  2 Si 2.42-2.55, 2 Rh 2.71
Rh  0.7826  0.2773  0.6627  2 Si 2.42-2.55, 2 Rh 2.71
Si  0.6040  0.6040  0.1879  3 Rh 2.42
Ho  0.0445  0.0445  0.8665  3 Rh 2.94, 9 Si 3.19-3.24, 1 Ho 3.25
Ho  0.7367  0.7367  0.7900  6 Si 3.01-3.18, 4 Ho 3.03-3.30, 6 Rh 3.15
Ho  0.2633  0.2633  0.2100  6 Si 3.01-3.18, 4 Ho 3.03-3.30, 6 Rh 3.15
Ho  0.1805  0.1805  0.4585  9 Rh 2.94-3.11, 1 Ho 3.03, 3 Si 3.21
Ho  0.8195  0.8195  0.5415  9 Rh 2.94-3.11, 1 Ho 3.03, 3 Si 3.21
Rh  0.2174  0.7227  0.3373  2 Si 2.42-2.55, 2 Rh 2.71
Si  0.0000  0.5000  0.0000  6 Si 2.74-2.78, 2 Ho 3.01
Si  0.5000  0.5000  0.0000  6 Si 2.74-2.78, 2 Ho 3.01


# 3
# Pm2Sm4ErTm

A geometry-optimized Pm2Sm4ErTm structure (GGA-PBE, the Alexandria database).

Properties
**Space-group type**: C2/c
**VASP energy**: -4.27 eV/atom
**ρ**: 7.54 g cm⁻³
**Calculated formation energy**: 0.405 eV/atom

Cell lengths 9.5422, 9.5422, 11.8642 Å; angles 128.39, 128.39, 88.29 degrees
Closest atoms and distances in Å follow each position.
Element x y z (fractional)
Pm  0.5000  0.5000  0.0000  6 Sm 3.39-3.52, 2 Pm 3.43
Sm  0.7438  0.2542  0.4985  1 Tm 3.25, 3 Pm 3.39-3.43, 2 Sm 3.42-3.44, 2 Er 3.42-3.44
Sm  0.2653  0.2701  0.0207  1 Er 3.29, 2 Tm 3.34-3.46, 3 Pm 3.36-3.52, 2 Sm 3.43
Sm  0.2562  0.7458  0.5015  1 Tm 3.25, 3 Pm 3.39-3.43, 2 Sm 3.42-3.44, 2 Er 3.42-3.44
Pm  0.0000  0.0000  0.5000  6 Sm 3.39-3.52, 2 Pm 3.43
Sm  0.7347  0.7299  0.9793  1 Er 3.29, 2 Tm 3.34-3.46, 3 Pm 3.36-3.52, 2 Sm 3.43
Pm  0.5000  0.0000  0.5000  6 Sm 3.36-3.43, 2 Er 3.43
Pm  0.5000  0.0000  0.0000  6 Sm 3.36-3.43, 2 Er 3.43
Tm  0.5000  0.5000  0.5000  6 Sm 3.25-3.46, 2 Tm 3.43
Sm  0.2458  0.7562  0.0015  1 Tm 3.25, 3 Pm 3.39-3.43, 2 Sm 3.42-3.44, 2 Er 3.42-3.44
Sm  0.7542  0.2438  0.9985  1 Tm 3.25, 3 Pm 3.39-3.43, 2 Sm 3.42-3.44, 2 Er 3.42-3.44
Er  0.0000  0.5000  0.0000  6 Sm 3.29-3.44, 2 Pm 3.43
Tm  0.0000  0.0000  0.0000  6 Sm 3.25-3.46, 2 Tm 3.43
Sm  0.2299  0.2347  0.4793  1 Er 3.29, 2 Tm 3.34-3.46, 3 Pm 3.36-3.52, 2 Sm 3.43
Sm  0.7701  0.7653  0.5207  1 Er 3.29, 2 Tm 3.34-3.46, 3 Pm 3.36-3.52, 2 Sm 3.43
Er  0.0000  0.5000  0.5000  6 Sm 3.29-3.44, 2 Pm 3.43


> The highest ρ belongs to which entry?

AcErRuPt


> Look up the VASP energy of the second one.

-6.57 eV/atom


> Which formula does entry 2 have?

HoSiRh


> Which of these has the lowest VASP energy?

HoSiRh